1.
! PmMg4Sc | the Alexandria database | GGA-PBE | relaxed; values from VASP
&SYSTEM
  ibrav = 0, nat = 6, ntyp = 3
/
ATOMIC_SPECIES
Pm 145.00 Pm.upf
Mg 24.30 Mg.upf
Sc 44.96 Sc.upf
CELL_PARAMETERS angstrom
0.0000 4.2262 4.2262
4.2262 0.0000 4.2262
4.2262 4.2262 0.0000
ATOMIC_POSITIONS crystal
Pm 0.0000 0.0000 0.0000
Mg 0.3753 0.3753 0.3753
Mg 0.3753 0.3753 0.8740
Mg 0.3753 0.8740 0.3753
Mg 0.8740 0.3753 0.3753
Sc 0.7500 0.7500 0.7500
! * DOS at the Fermi energy: 7.3 states/eV/cell
! * energy relative to the elements: -0.03 eV/atom

---

2.
! PmMgSc2 | the Alexandria database | GGA-PBE | relaxed; values from VASP
&SYSTEM
  ibrav = 0, nat = 4, ntyp = 3
/
ATOMIC_SPECIES
Pm 145.00 Pm.upf
Mg 24.30 Mg.upf
Sc 44.96 Sc.upf
CELL_PARAMETERS angstrom
4.6986 0.0000 0.0000
0.0000 4.6986 0.0000
0.0000 0.0000 4.8018
ATOMIC_POSITIONS crystal
Pm 0.0000 0.0000 0.0000
Mg 0.5000 0.5000 0.0000
Sc 0.0000 0.5000 0.5000
Sc 0.5000 0.0000 0.5000
! * DOS at the Fermi energy: 7.2 states/eV/cell
! * energy relative to the elements: 0.05 eV/atom

---

3.
! PmMgSc2 | the Alexandria database | GGA-PBE | relaxed; values from VASP
&SYSTEM
  ibrav = 0, nat = 4, ntyp = 3
/
ATOMIC_SPECIES
Pm 145.00 Pm.upf
Mg 24.30 Mg.upf
Sc 44.96 Sc.upf
CELL_PARAMETERS angstrom
3.5099 0.0000 0.0000
0.0000 3.5099 0.0000
0.0000 0.0000 8.5374
ATOMIC_POSITIONS crystal
Pm 0.0000 0.0000 0.0000
Mg 0.0000 0.0000 0.5000
Sc 0.5000 0.5000 0.2795
Sc 0.5000 0.5000 0.7205
! * DOS at the Fermi energy: 5.6 states/eV/cell
! * energy relative to the elements: 0.01 eV/atom

---

4.
! Pm2MgSc | the Alexandria database | GGA-PBE | relaxed; values from VASP
&SYSTEM
  ibrav = 0, nat = 4, ntyp = 3
/
ATOMIC_SPECIES
Pm 145.00 Pm.upf
Mg 24.30 Mg.upf
Sc 44.96 Sc.upf
CELL_PARAMETERS angstrom
1.7061 0.9850 12.1283
-1.7061 0.9850 12.1283
0.0000 -1.9700 12.1283
ATOMIC_POSITIONS crystal
Pm 0.0913 0.0913 0.0913
Pm 0.9087 0.9087 0.9087
Mg 0.0000 0.0000 0.0000
Sc 0.5000 0.5000 0.5000
! * DOS at the Fermi energy: 3.9 states/eV/cell
! * energy relative to the elements: 0.19 eV/atom

---

5.
! PmMg5Sc4 | the Alexandria database | GGA-PBE | relaxed; values from VASP
&SYSTEM
  ibrav = 0, nat = 10, ntyp = 3
/
ATOMIC_SPECIES
Pm 145.00 Pm.upf
Mg 24.30 Mg.upf
Sc 44.96 Sc.upf
CELL_PARAMETERS angstrom
3.6214 0.0000 0.0000
0.0000 3.6214 0.0000
0.0000 0.0000 18.5708
ATOMIC_POSITIONS crystal
Pm 0.0000 0.0000 0.0000
Mg 0.5000 0.5000 0.1166
Mg 0.5000 0.5000 0.3076
Mg 0.5000 0.5000 0.5000
Mg 0.5000 0.5000 0.6924
Mg 0.5000 0.5000 0.8834
Sc 0.0000 0.0000 0.2121
Sc 0.0000 0.0000 0.4041
Sc 0.0000 0.0000 0.5959
Sc 0.0000 0.0000 0.7879
! * DOS at the Fermi energy: 14.2 states/eV/cell
! * energy relative to the elements: -0.05 eV/atom

---

6.
! Pm2Mg4Sc | the Alexandria database | GGA-PBE | relaxed; values from VASP
&SYSTEM
  ibrav = 0, nat = 7, ntyp = 3
/
ATOMIC_SPECIES
Pm 145.00 Pm.upf
Mg 24.30 Mg.upf
Sc 44.96 Sc.upf
CELL_PARAMETERS angstrom
2.6422 1.5255 7.7473
-2.6422 1.5255 7.7473
0.0000 -3.0509 7.7473
ATOMIC_POSITIONS crystal
Pm 0.2132 0.2132 0.2132
Pm 0.7868 0.7868 0.7868
Mg 0.0685 0.0685 0.0685
Mg 0.3636 0.3636 0.3636
Mg 0.6364 0.6364 0.6364
Mg 0.9315 0.9315 0.9315
Sc 0.5000 0.5000 0.5000
! * DOS at the Fermi energy: 7.4 states/eV/cell
! * energy relative to the elements: 0.03 eV/atom

---

7.
! PmMg4Sc5 | the Alexandria database | GGA-PBE | relaxed; values from VASP
&SYSTEM
  ibrav = 0, nat = 10, ntyp = 3
/
ATOMIC_SPECIES
Pm 145.00 Pm.upf
Mg 24.30 Mg.upf
Sc 44.96 Sc.upf
CELL_PARAMETERS angstrom
3.5621 0.0000 0.0000
0.0000 3.5621 0.0000
0.0000 0.0000 19.2601
ATOMIC_POSITIONS crystal
Pm 0.0000 0.0000 0.0000
Mg 0.0000 0.0000 0.2165
Mg 0.0000 0.0000 0.4051
Mg 0.0000 0.0000 0.5949
Mg 0.0000 0.0000 0.7835
Sc 0.5000 0.5000 0.1215
Sc 0.5000 0.5000 0.3109
Sc 0.5000 0.5000 0.5000
Sc 0.5000 0.5000 0.6891
Sc 0.5000 0.5000 0.8785
! * DOS at the Fermi energy: 14.3 states/eV/cell
! * energy relative to the elements: -0.02 eV/atom

---

8.
! Pm4MgSc | the Alexandria database | GGA-PBE | relaxed; values from VASP
&SYSTEM
  ibrav = 0, nat = 6, ntyp = 3
/
ATOMIC_SPECIES
Pm 145.00 Pm.upf
Mg 24.30 Mg.upf
Sc 44.96 Sc.upf
CELL_PARAMETERS angstrom
5.8887 -2.7903 0.0000
5.8887 2.7903 0.0000
-3.8523 0.0000 5.6229
ATOMIC_POSITIONS crystal
Pm 0.1537 0.1537 0.0019
Pm 0.1844 0.1844 0.5430
Pm 0.8156 0.8156 0.4570
Pm 0.8463 0.8463 0.9981
Mg 0.5000 0.5000 0.0000
Sc 0.5000 0.5000 0.5000
! * DOS at the Fermi energy: 7.2 states/eV/cell
! * energy relative to the elements: 0.05 eV/atom

---

9.
! Pm3Mg3Sc2 | the Alexandria database | GGA-PBE | relaxed; values from VASP
&SYSTEM
  ibrav = 0, nat = 8, ntyp = 3
/
ATOMIC_SPECIES
Pm 145.00 Pm.upf
Mg 24.30 Mg.upf
Sc 44.96 Sc.upf
CELL_PARAMETERS angstrom
-1.8430 2.7288 10.9897
1.8430 -2.7288 10.9897
1.8430 2.7288 -10.9897
ATOMIC_POSITIONS crystal
Pm 0.0000 0.0000 0.0000
Pm 0.3705 0.8705 0.5000
Pm 0.6295 0.1295 0.5000
Mg 0.1252 0.6252 0.5000
Mg 0.5000 0.5000 0.0000
Mg 0.8748 0.3748 0.5000
Sc 0.2382 0.2382 0.0000
Sc 0.7618 0.7618 0.0000
! * DOS at the Fermi energy: 11.3 states/eV/cell
! * energy relative to the elements: -0.04 eV/atom

---

10.
! Pm2MgSc | the Alexandria database | GGA-PBE | relaxed; values from VASP
&SYSTEM
  ibrav = 0, nat = 4, ntyp = 3
/
ATOMIC_SPECIES
Pm 145.00 Pm.upf
Mg 24.30 Mg.upf
Sc 44.96 Sc.upf
CELL_PARAMETERS angstrom
3.6761 0.0000 0.0000
0.0000 3.6761 0.0000
0.0000 0.0000 8.6636
ATOMIC_POSITIONS crystal
Pm 0.0000 0.0000 0.2483
Pm 0.0000 0.0000 0.7517
Mg 0.5000 0.5000 0.0000
Sc 0.5000 0.5000 0.5000
! * DOS at the Fermi energy: 6.6 states/eV/cell
! * energy relative to the elements: -0.01 eV/atom

---

11.
! PmMgSc | the Alexandria database | GGA-PBE | relaxed; values from VASP
&SYSTEM
  ibrav = 0, nat = 3, ntyp = 3
/
ATOMIC_SPECIES
Pm 145.00 Pm.upf
Mg 24.30 Mg.upf
Sc 44.96 Sc.upf
CELL_PARAMETERS angstrom
5.3398 0.0000 0.0000
-2.6699 4.6244 0.0000
0.0000 0.0000 3.3243
ATOMIC_POSITIONS crystal
Pm 0.0000 0.0000 0.0000
Mg 0.6667 0.3333 0.3879
Sc 0.3333 0.6667 0.5566
! * DOS at the Fermi energy: 4.6 states/eV/cell
! * energy relative to the elements: 0.06 eV/atom

---

12.
! PmMg5Sc2 | the Alexandria database | GGA-PBE | relaxed; values from VASP
&SYSTEM
  ibrav = 0, nat = 8, ntyp = 3
/
ATOMIC_SPECIES
Pm 145.00 Pm.upf
Mg 24.30 Mg.upf
Sc 44.96 Sc.upf
CELL_PARAMETERS angstrom
-2.5827 2.5827 7.2967
2.5827 -2.5827 7.2967
2.5827 2.5827 -7.2967
ATOMIC_POSITIONS crystal
Pm 0.0000 0.0000 0.0000
Mg 0.1309 0.6309 0.5000
Mg 0.3691 0.8691 0.5000
Mg 0.5000 0.5000 0.0000
Mg 0.6309 0.1309 0.5000
Mg 0.8691 0.3691 0.5000
Sc 0.2566 0.2566 0.0000
Sc 0.7434 0.7434 0.0000
! * DOS at the Fermi energy: 6.1 states/eV/cell
! * energy relative to the elements: -0.06 eV/atom

---

13.
! Pm2Mg6Sc | the Alexandria database | GGA-PBE | relaxed; values from VASP
&SYSTEM
  ibrav = 0, nat = 9, ntyp = 3
/
ATOMIC_SPECIES
Pm 145.00 Pm.upf
Mg 24.30 Mg.upf
Sc 44.96 Sc.upf
CELL_PARAMETERS angstrom
9.0759 0.0000 0.0000
-4.5380 7.8600 0.0000
0.0000 0.0000 3.2545
ATOMIC_POSITIONS crystal
Pm 0.3333 0.6667 0.0000
Pm 0.6667 0.3333 0.0000
Mg 0.0000 0.3256 0.5000
Mg 0.0000 0.6744 0.5000
Mg 0.3256 0.0000 0.5000
Mg 0.3256 0.3256 0.5000
Mg 0.6744 0.0000 0.5000
Mg 0.6744 0.6744 0.5000
Sc 0.0000 0.0000 0.0000
! * DOS at the Fermi energy: 6.1 states/eV/cell
! * energy relative to the elements: -0.06 eV/atom

---

14.
! Pm6Mg5Sc | the Alexandria database | GGA-PBE | relaxed; values from VASP
&SYSTEM
  ibrav = 0, nat = 12, ntyp = 3
/
ATOMIC_SPECIES
Pm 145.00 Pm.upf
Mg 24.30 Mg.upf
Sc 44.96 Sc.upf
CELL_PARAMETERS angstrom
-2.7336 3.8734 8.2113
2.7336 -3.8734 8.2113
2.7336 3.8734 -8.2113
ATOMIC_POSITIONS crystal
Pm 0.0825 0.3337 0.7488
Pm 0.2481 0.0000 0.2481
Pm 0.4151 0.6663 0.7488
Pm 0.5849 0.3337 0.2512
Pm 0.7519 0.0000 0.7519
Pm 0.9175 0.6663 0.2512
Mg 0.0000 0.5000 0.5000
Mg 0.1674 0.1674 0.0000
Mg 0.3357 0.8357 0.5000
Mg 0.6643 0.1643 0.5000
Mg 0.8326 0.8326 0.0000
Sc 0.5000 0.5000 0.0000
! * DOS at the Fermi energy: 14.8 states/eV/cell
! * energy relative to the elements: -0.07 eV/atom

---

15.
! Pm2MgSc | the Alexandria database | GGA-PBE | relaxed; values from VASP
&SYSTEM
  ibrav = 0, nat = 4, ntyp = 3
/
ATOMIC_SPECIES
Pm 145.00 Pm.upf
Mg 24.30 Mg.upf
Sc 44.96 Sc.upf
CELL_PARAMETERS angstrom
1.7263 0.9967 11.4008
-1.7263 0.9967 11.4008
0.0000 -1.9934 11.4008
ATOMIC_POSITIONS crystal
Pm 0.0000 0.0000 0.0000
Pm 0.1722 0.1722 0.1722
Mg 0.4192 0.4192 0.4192
Sc 0.5863 0.5863 0.5863
! * DOS at the Fermi energy: 5.4 states/eV/cell
! * energy relative to the elements: 0.06 eV/atom

---

16.
! Pm4Mg3Sc | the Alexandria database | GGA-PBE | relaxed; values from VASP
&SYSTEM
  ibrav = 0, nat = 8, ntyp = 3
/
ATOMIC_SPECIES
Pm 145.00 Pm.upf
Mg 24.30 Mg.upf
Sc 44.96 Sc.upf
CELL_PARAMETERS angstrom
3.8116 0.0000 0.0000
0.0000 3.8116 0.0000
0.0000 0.0000 15.9859
ATOMIC_POSITIONS crystal
Pm 0.0000 0.0000 0.1217
Pm 0.0000 0.0000 0.3695
Pm 0.0000 0.0000 0.6305
Pm 0.0000 0.0000 0.8783
Mg 0.5000 0.5000 0.0000
Mg 0.5000 0.5000 0.2461
Mg 0.5000 0.5000 0.7539
Sc 0.5000 0.5000 0.5000
! * DOS at the Fermi energy: 10.5 states/eV/cell
! * energy relative to the elements: -0.05 eV/atom

---

17.
! PmMgSc2 | the Alexandria database | GGA-PBE | relaxed; values from VASP
&SYSTEM
  ibrav = 0, nat = 4, ntyp = 3
/
ATOMIC_SPECIES
Pm 145.00 Pm.upf
Mg 24.30 Mg.upf
Sc 44.96 Sc.upf
CELL_PARAMETERS angstrom
3.3806 0.0000 0.0000
0.0000 3.3806 0.0000
0.0000 0.0000 9.2968
ATOMIC_POSITIONS crystal
Pm 0.0000 0.0000 0.0000
Mg 0.5000 0.5000 0.2663
Sc 0.0000 0.0000 0.4957
Sc 0.5000 0.5000 0.7305
! * DOS at the Fermi energy: 6.8 states/eV/cell
! * energy relative to the elements: 0.00 eV/atom

---

18.
! Pm2Mg3Sc | the Alexandria database | GGA-PBE | relaxed; values from VASP
&SYSTEM
  ibrav = 0, nat = 6, ntyp = 3
/
ATOMIC_SPECIES
Pm 145.00 Pm.upf
Mg 24.30 Mg.upf
Sc 44.96 Sc.upf
CELL_PARAMETERS angstrom
3.7597 0.0000 0.0000
0.0000 3.7597 0.0000
0.0000 0.0000 11.4325
ATOMIC_POSITIONS crystal
Pm 0.0000 0.0000 0.1754
Pm 0.0000 0.0000 0.8246
Mg 0.5000 0.5000 0.0000
Mg 0.5000 0.5000 0.3533
Mg 0.5000 0.5000 0.6467
Sc 0.0000 0.0000 0.5000
! * DOS at the Fermi energy: 7.8 states/eV/cell
! * energy relative to the elements: -0.07 eV/atom

---

19.
! PmMgSc | the Alexandria database | GGA-PBE | relaxed; values from VASP
&SYSTEM
  ibrav = 0, nat = 3, ntyp = 3
/
ATOMIC_SPECIES
Pm 145.00 Pm.upf
Mg 24.30 Mg.upf
Sc 44.96 Sc.upf
CELL_PARAMETERS angstrom
-1.7595 1.7595 6.6128
1.7595 -1.7595 6.6128
1.7595 1.7595 -6.6128
ATOMIC_POSITIONS crystal
Pm 0.0000 0.0000 0.0000
Mg 0.3222 0.3222 0.0000
Sc 0.6743 0.6743 0.0000
! * DOS at the Fermi energy: 4.4 states/eV/cell
! * energy relative to the elements: -0.02 eV/atom

---

20.
! PmMgSc | the Alexandria database | GGA-PBE | relaxed; values from VASP
&SYSTEM
  ibrav = 0, nat = 3, ntyp = 3
/
ATOMIC_SPECIES
Pm 145.00 Pm.upf
Mg 24.30 Mg.upf
Sc 44.96 Sc.upf
CELL_PARAMETERS angstrom
3.3127 0.0000 0.0000
0.0000 5.0706 0.0000
0.0000 0.0000 5.5337
ATOMIC_POSITIONS crystal
Pm 0.0000 0.0000 0.0000
Mg 0.5000 0.0000 0.5000
Sc 0.0000 0.5000 0.5000
! * DOS at the Fermi energy: 5.3 states/eV/cell
! * energy relative to the elements: 0.37 eV/atom

---

21.
! Pm2MgSc | the Alexandria database | GGA-PBE | relaxed; values from VASP
&SYSTEM
  ibrav = 0, nat = 4, ntyp = 3
/
ATOMIC_SPECIES
Pm 145.00 Pm.upf
Mg 24.30 Mg.upf
Sc 44.96 Sc.upf
CELL_PARAMETERS angstrom
0.0000 3.8688 3.8688
3.8688 0.0000 3.8688
3.8688 3.8688 0.0000
ATOMIC_POSITIONS crystal
Pm 0.2500 0.2500 0.2500
Pm 0.7500 0.7500 0.7500
Mg 0.0000 0.0000 0.0000
Sc 0.5000 0.5000 0.5000
! * DOS at the Fermi energy: 4.7 states/eV/cell
! * energy relative to the elements: 0.01 eV/atom

---

22.
! PmMg3Sc2 | the Alexandria database | GGA-PBE | relaxed; values from VASP
&SYSTEM
  ibrav = 0, nat = 6, ntyp = 3
/
ATOMIC_SPECIES
Pm 145.00 Pm.upf
Mg 24.30 Mg.upf
Sc 44.96 Sc.upf
CELL_PARAMETERS angstrom
3.6675 0.0000 0.0000
0.0000 3.6675 0.0000
0.0000 0.0000 11.1885
ATOMIC_POSITIONS crystal
Pm 0.0000 0.0000 0.0000
Mg 0.5000 0.5000 0.1888
Mg 0.5000 0.5000 0.5000
Mg 0.5000 0.5000 0.8112
Sc 0.0000 0.0000 0.3429
Sc 0.0000 0.0000 0.6571
! * DOS at the Fermi energy: 9.0 states/eV/cell
! * energy relative to the elements: -0.05 eV/atom

---

23.
! Pm2MgSc6 | the Alexandria database | GGA-PBE | relaxed; values from VASP
&SYSTEM
  ibrav = 0, nat = 9, ntyp = 3
/
ATOMIC_SPECIES
Pm 145.00 Pm.upf
Mg 24.30 Mg.upf
Sc 44.96 Sc.upf
CELL_PARAMETERS angstrom
9.2516 0.0000 0.0000
-4.6258 8.0121 0.0000
0.0000 0.0000 3.1862
ATOMIC_POSITIONS crystal
Pm 0.3333 0.6667 0.0000
Pm 0.6667 0.3333 0.0000
Mg 0.0000 0.0000 0.0000
Sc 0.0000 0.3279 0.5000
Sc 0.0000 0.6721 0.5000
Sc 0.3279 0.0000 0.5000
Sc 0.3279 0.3279 0.5000
Sc 0.6721 0.0000 0.5000
Sc 0.6721 0.6721 0.5000
! * DOS at the Fermi energy: 15.7 states/eV/cell
! * energy relative to the elements: 0.10 eV/atom

---

24.
! PmMg6Sc2 | the Alexandria database | GGA-PBE | relaxed; values from VASP
&SYSTEM
  ibrav = 0, nat = 9, ntyp = 3
/
ATOMIC_SPECIES
Pm 145.00 Pm.upf
Mg 24.30 Mg.upf
Sc 44.96 Sc.upf
CELL_PARAMETERS angstrom
8.9346 0.0000 0.0000
-4.4673 7.7376 0.0000
0.0000 0.0000 3.2010
ATOMIC_POSITIONS crystal
Pm 0.0000 0.0000 0.0000
Mg 0.0000 0.3396 0.5000
Mg 0.0000 0.6604 0.5000
Mg 0.3396 0.0000 0.5000
Mg 0.3396 0.3396 0.5000
Mg 0.6604 0.0000 0.5000
Mg 0.6604 0.6604 0.5000
Sc 0.3333 0.6667 0.0000
Sc 0.6667 0.3333 0.0000
! * DOS at the Fermi energy: 7.0 states/eV/cell
! * energy relative to the elements: -0.04 eV/atom

---

25.
! Pm3Mg2Sc2 | the Alexandria database | GGA-PBE | relaxed; values from VASP
&SYSTEM
  ibrav = 0, nat = 7, ntyp = 3
/
ATOMIC_SPECIES
Pm 145.00 Pm.upf
Mg 24.30 Mg.upf
Sc 44.96 Sc.upf
CELL_PARAMETERS angstrom
2.5723 -11.4267 0.0000
2.5723 11.4267 0.0000
0.0000 0.0000 3.4237
ATOMIC_POSITIONS crystal
Pm 0.0000 0.0000 0.0000
Pm 0.1544 0.8456 0.0000
Pm 0.8456 0.1544 0.0000
Mg 0.4275 0.5725 0.5000
Mg 0.5725 0.4275 0.5000
Sc 0.2850 0.7150 0.5000
Sc 0.7150 0.2850 0.5000
! * DOS at the Fermi energy: 8.3 states/eV/cell
! * energy relative to the elements: 0.02 eV/atom

---

26.
! PmMg4Sc | the Alexandria database | GGA-PBE | relaxed; values from VASP
&SYSTEM
  ibrav = 0, nat = 6, ntyp = 3
/
ATOMIC_SPECIES
Pm 145.00 Pm.upf
Mg 24.30 Mg.upf
Sc 44.96 Sc.upf
CELL_PARAMETERS angstrom
4.4871 -2.5902 0.0000
4.4871 2.5902 0.0000
-0.0335 0.0000 6.5073
ATOMIC_POSITIONS crystal
Pm 0.0000 0.0000 0.0000
Mg 0.3327 0.3327 0.7418
Mg 0.3339 0.3339 0.2583
Mg 0.6661 0.6661 0.7417
Mg 0.6673 0.6673 0.2582
Sc 0.0000 0.0000 0.5000
! * DOS at the Fermi energy: 5.7 states/eV/cell
! * energy relative to the elements: -0.05 eV/atom

---

27.
! PmMg4Sc | the Alexandria database | GGA-PBE | relaxed; values from VASP
&SYSTEM
  ibrav = 0, nat = 6, ntyp = 3
/
ATOMIC_SPECIES
Pm 145.00 Pm.upf
Mg 24.30 Mg.upf
Sc 44.96 Sc.upf
CELL_PARAMETERS angstrom
3.2658 0.0000 0.0000
-1.6105 6.2420 0.0000
-1.6257 -1.2308 7.4320
ATOMIC_POSITIONS crystal
Pm 0.0000 0.0000 0.0000
Mg 0.1812 0.6971 0.6609
Mg 0.2603 0.5198 0.0048
Mg 0.6180 0.8662 0.3649
Mg 0.8483 0.3731 0.3221
Sc 0.4516 0.2362 0.6658
! * DOS at the Fermi energy: 4.8 states/eV/cell
! * energy relative to the elements: -0.03 eV/atom